No. 1
## Ac5PmY (PBE)

Data for an optimized crystal structure of Ac5PmY.

Summary:
formation energy from the elements	1.1	eV per formula unit
total magnetization	0.000	μB/f.u.
Fermi-level density of states	1.6800	states/eV/atom

a = 7.7708 Å, b = 24.3805 Å, c = 7.1309 Å
α = 90.00°, β = 117.20°, γ = 90.00°
Last column: nearest neighbours and their distance in Å.
Space group C2/c (No. 15)
Asymmetric unit:
Ac: 0.0000 0.1246 0.2500 x4  2 Y 3.94, 2 Pm 3.94, 8 Ac 3.96-4.27
Ac: 0.2432 0.2207 0.7511 x8  1 Pm 3.58, 2 Y 3.61-3.65, 5 Ac 3.77-4.00
Ac: 0.2459 0.0280 0.9841 x8  2 Pm 3.56-3.69, 1 Y 3.61, 3 Ac 3.75-3.82
Pm: 0.0000 0.4010 0.2500 x4  8 Ac 3.56-3.94, 2 Y 3.78
Y: 0.0000 0.3490 0.7500 x4  8 Ac 3.61-3.94, 2 Pm 3.78

---

No. 2
## Ac2MgCuS5 (PBE)

Data for an optimized crystal structure of Ac2MgCuS5.

Summary:
uncorrected formation energy	-1.5421	eV/atom
total magnetization	0.000	μB/f.u.
Fermi-level density of states	0.4779	states/eV/atom

a = 4.0459 Å, b = 16.9985 Å, c = 11.8421 Å
α = 90.00°, β = 90.00°, γ = 90.00°
Last column: nearest neighbours and their distance in Å.
Space group Cmc2_1 (No. 36)
Asymmetric unit:
Ac: 0.0000 0.1225 0.0000 x4  8 S 3.04-3.40
Ac: 0.0000 0.1282 0.6268 x4  7 S 3.00-3.14
Mg: 0.0000 0.1934 0.3222 x4  6 S 2.56-2.71
Cu: 0.0000 0.4473 0.7397 x4  4 S 2.27-2.47
S: 0.0000 0.0355 0.3238 x4  2 Cu 2.27
S: 0.0000 0.3006 0.9699 x4  2 Mg 2.68
S: 0.0000 0.3105 0.6699 x4  1 Cu 2.47, 2 Mg 2.71
S: 0.0000 0.3438 0.3146 x4  1 Mg 2.56
S: 0.0000 0.4970 0.0647 x4  1 Cu 2.28

---

No. 3
## HgSbP (PBE)

Data for an optimized crystal structure of HgSbP.

Summary:
uncorrected formation energy	0.2903	eV/atom
total magnetization	0.000	μB/f.u.
Fermi-level density of states	0.6139	states/eV/atom
excess energy over the best structure of this formula in the dataset	185	meV/atom

a = 3.4857 Å, b = 3.4857 Å, c = 12.7616 Å
α = 90.00°, β = 90.00°, γ = 90.00°
Last column: nearest neighbours and their distance in Å.
Space group I4mm (No. 107)
Asymmetric unit:
Hg: 0.0000 0.0000 0.0000 x2  4 Hg 3.49, 4 P 3.49, 5 Sb 3.61-3.71
Sb: 0.0000 0.0000 0.7174 x2  4 P 2.71
P: 0.0000 0.0000 0.3066 x2  4 Sb 2.71

---

No. 4
## TaH2Os4 (PBE)

Data for an optimized crystal structure of TaH2Os4.

Summary:
total energy	-7.198	eV per atom
total magnetization	0.001	μB/f.u.
Fermi-level density of states	1.1425	states/eV/atom

a = 4.6863 Å, b = 4.6863 Å, c = 9.2033 Å
α = 90.00°, β = 90.00°, γ = 90.00°
Last column: nearest neighbours and their distance in Å.
Space group I4/mmm (No. 139)
Asymmetric unit:
Ta: 0.0000 0.0000 0.0000 x2  6 Os 2.34-2.54
H: 0.0000 0.0000 0.4458 x4  1 H 1.00
Os: 0.0000 0.0000 0.2761 x4  1 H 1.56
Os: 0.0000 0.5000 0.0000 x4  2 Ta 2.34, 4 H 2.40

---

No. 5
## PaAl2Au (PBE)

Data for an optimized crystal structure of PaAl2Au.

Summary:
formation energy from the elements	-0.9	eV per formula unit
total magnetization	0.001	μB/f.u.
Fermi-level density of states	1.3089	states/eV/atom
excess energy over the best structure of this formula in the dataset	154	meV/atom

a = 4.3544 Å, b = 4.3544 Å, c = 4.2819 Å
α = 90.00°, β = 90.00°, γ = 90.00°
Last column: nearest neighbours and their distance in Å.
Space group P4/mmm (No. 123)
Asymmetric unit:
Pa: 0.0000 0.0000 0.0000 x1  8 Al 3.05, 4 Au 3.08
Al: 0.0000 0.5000 0.5000 x2  4 Pa 3.05, 4 Au 3.05, 4 Al 3.08
Au: 0.5000 0.5000 0.0000 x1  8 Al 3.05, 4 Pa 3.08

---

No. 6
## AgPdI5 (PBE)

Data for an optimized crystal structure of AgPdI5.

Summary:
uncorrected formation energy	-0.1009	eV/atom
total magnetization	0.000	μB/f.u.
Fermi-level density of states	0.7207	states/eV/atom

a = 10.8584 Å, b = 10.2764 Å, c = 10.5654 Å
α = 90.00°, β = 114.63°, γ = 90.00°
Last column: nearest neighbours and their distance in Å.
Space group C2/c (No. 15)
Asymmetric unit:
Ag: 0.0000 0.0408 0.2500 x4  5 I 2.84-2.97
Pd: 0.2500 0.2500 0.0000 x4  6 I 2.67-2.90
I: 0.0000 0.2374 0.7500 x4  1 Ag 2.86, 2 Pd 2.90
I: 0.1082 0.2692 0.1579 x8  1 Pd 2.71, 1 Ag 2.97
I: 0.2359 0.0092 0.5021 x8  1 Pd 2.67, 1 Ag 2.84